Entry from Alexandria: a geometry-optimized MoN2OF5 structure (PBE+U).

Calculated values
Uncorrected energy   -4.527 eV/atom
Space group   Cmc2_1 (36)
Total magnetic moment   0.5556 μB/atom

Unit cell a=7.7640 b=7.7640 c=7.8732 alpha=90.00 beta=90.00 gamma=141.64
Last column: magnetic moment on the atom in μB.
Sites, in units of the cell vectors:
F 0.6257 0.8657 0.8249  0.01
Mo 0.1037 0.8963 0.4956  0.06
F 0.8657 0.6257 0.3249  0.01
F 0.3743 0.1343 0.3249  0.01
F 0.1343 0.3743 0.8249  0.01
F 0.8653 0.6259 0.6663  0.01
N 0.7729 0.2271 0.4965  1.77
F 0.1347 0.3741 0.1663  0.01
F 0.2486 0.7514 0.4963  -0.16
F 0.3741 0.1347 0.6663  0.01
N 0.2271 0.7729 0.9965  1.77
O 0.9843 0.0157 0.4954  -0.11
O 0.0157 0.9843 0.9954  -0.11
N 0.5497 0.4503 0.9955  1.80
F 0.7514 0.2486 0.9963  -0.16
N 0.4503 0.5497 0.4955  1.80
F 0.6259 0.8653 0.1663  0.01
Mo 0.8963 0.1037 0.9956  0.06